Entry 1:
Entry from Alexandria via LeMat-Bulk: a geometry-optimized Rb5Hg4 structure (PBE).

Results
For the final energy, the calculation gives -0.87 eV per atom. The total magnetization comes out at 0.00 μB per atom. The calculation puts the energy above the most stable polymorph in this dataset at 0.0 meV/atom.

a b c (Å): 5.254 7.257 13.159
angles (deg): 74.79 78.48 68.78
Sites, in units of the cell vectors:
Rb 0.114 0.171 0.602
Rb 0.886 0.829 0.398
Rb 0.764 0.658 0.814
Rb 0.236 0.342 0.186
Rb 0.000 0.000 0.000
Hg 0.469 0.253 0.809
Hg 0.531 0.747 0.191
Hg 0.406 0.581 0.607
Hg 0.594 0.419 0.393


Entry 2:
Entry from Alexandria via LeMat-Bulk: a geometry-optimized Rb2Hg7 structure (PBE).

Results
For the final energy, the calculation gives -0.67 eV per atom. The total magnetization comes out at 0.00 μB per atom. The calculation puts the energy above the most stable polymorph in this dataset at 0.0 meV/atom.

a b c (Å): 7.224 7.223 6.670
angles (deg): 90.00 90.00 120.00
Sites, in units of the cell vectors:
Hg 0.362 0.181 0.334
Hg 0.819 0.181 0.334
Hg 0.819 0.638 0.334
Hg 0.181 0.819 0.666
Hg 0.638 0.819 0.666
Hg 0.181 0.362 0.666
Hg 0.000 0.000 0.000
Rb 0.667 0.333 0.840
Rb 0.333 0.667 0.160


Entry 3:
Entry from Alexandria via LeMat-Bulk: a geometry-optimized Rb3Hg structure (PBE).

Results
For the final energy, the calculation gives -0.90 eV per atom. The total magnetization comes out at 0.00 μB per atom.

a b c (Å): 8.417 8.417 8.411
angles (deg): 87.67 87.67 113.78
Sites, in units of the cell vectors:
Rb 0.825 0.476 0.228
Rb 0.476 0.825 0.228
Rb 0.802 0.802 0.683
Rb 0.198 0.198 0.317
Rb 0.524 0.175 0.772
Rb 0.175 0.524 0.772
Hg 0.892 0.108 0.000
Hg 0.108 0.892 0.000


Entry 4:
Entry from Alexandria via LeMat-Bulk: a geometry-optimized RbHg5 structure (PBE).

Results
For the final energy, the calculation gives -0.53 eV per atom. The total magnetization comes out at 0.00 μB per atom. The calculation puts the energy above the most stable polymorph in this dataset at 30.5 meV/atom.

a b c (Å): 5.212 6.563 6.418
angles (deg): 90.00 90.00 90.00
Sites, in units of the cell vectors:
Rb 0.000 0.000 0.000
Hg 0.000 0.730 0.500
Hg 0.000 0.270 0.500
Hg 0.500 0.000 0.500
Hg 0.500 0.500 0.762
Hg 0.500 0.500 0.238


Entry 5:
Entry from Alexandria via LeMat-Bulk: a geometry-optimized Rb3Hg structure (PBE).

Results
For the final energy, the calculation gives -0.90 eV per atom. The total magnetization comes out at 0.00 μB per atom.

a b c (Å): 4.980 8.124 8.074
angles (deg): 120.21 107.96 90.00
Sites, in units of the cell vectors:
Hg 0.000 0.045 0.000
Rb 0.311 0.677 0.621
Rb 0.500 0.388 0.000
Rb 0.689 0.056 0.379


Entry 6:
Entry from Alexandria via LeMat-Bulk: a geometry-optimized Rb3Hg structure (PBE).

Results
For the final energy, the calculation gives -0.85 eV per atom. The total magnetization comes out at 0.00 μB per atom.

a b c (Å): 6.245 6.245 6.245
angles (deg): 90.00 90.00 90.00
Sites, in units of the cell vectors:
Hg 0.000 0.000 0.000
Rb 0.000 0.500 0.500
Rb 0.500 0.000 0.500
Rb 0.500 0.500 0.000


Entry 7:
Entry from Alexandria via LeMat-Bulk: a geometry-optimized Rb5Hg structure (PBE).

Results
For the final energy, the calculation gives -0.91 eV per atom. The total magnetization comes out at 0.00 μB per atom. The calculation puts the energy above the most stable polymorph in this dataset at 18.2 meV/atom.

a b c (Å): 9.644 9.644 11.575
angles (deg): 114.62 114.62 90.00
Sites, in units of the cell vectors:
Rb 0.000 0.000 0.000
Rb 0.500 0.500 0.000
Rb 0.319 0.819 0.300
Rb 0.481 0.319 0.300
Rb 0.819 0.981 0.300
Rb 0.519 0.681 0.700
Rb 0.181 0.019 0.700
Rb 0.019 0.519 0.700
Rb 0.681 0.181 0.700
Rb 0.981 0.481 0.300
Hg 0.250 0.250 0.500
Hg 0.750 0.750 0.500


Entry 8:
Entry from Alexandria via LeMat-Bulk: a geometry-optimized RbHg8 structure (PBE).

Results
For the final energy, the calculation gives -0.49 eV per atom. The total magnetization comes out at 0.00 μB per atom.

a b c (Å): 5.004 7.965 7.965
angles (deg): 84.34 71.69 71.69
Sites, in units of the cell vectors:
Rb 0.000 0.000 0.000
Hg 0.321 0.000 0.359
Hg 0.679 0.000 0.641
Hg 0.655 0.345 0.345
Hg 0.321 0.359 0.000
Hg 0.000 0.345 0.655
Hg 0.679 0.641 0.000
Hg 0.345 0.655 0.655
Hg 0.000 0.655 0.345


Entry 9:
Entry from Alexandria via LeMat-Bulk: a geometry-optimized Rb3Hg13 structure (PBE).

Results
For the final energy, the calculation gives -0.59 eV per atom. The total magnetization comes out at 0.00 μB per atom.

a b c (Å): 7.715 7.715 10.283
angles (deg): 90.00 90.00 116.66
Sites, in units of the cell vectors:
Rb 0.021 0.979 0.254
Rb 0.658 0.342 0.000
Rb 0.021 0.979 0.746
Hg 0.528 0.988 0.263
Hg 0.463 0.537 0.276
Hg 0.012 0.472 0.263
Hg 0.635 0.816 0.000
Hg 0.184 0.365 0.000
Hg 0.205 0.795 0.000
Hg 0.528 0.988 0.737
Hg 0.463 0.537 0.724
Hg 0.012 0.472 0.737
Hg 0.825 0.175 0.500
Hg 0.785 0.601 0.500
Hg 0.399 0.215 0.500
Hg 0.260 0.740 0.500


Entry 10:
Entry from Alexandria via LeMat-Bulk: a geometry-optimized RbHg11 structure (PBE).

Results
For the final energy, the calculation gives -0.47 eV per atom. The total magnetization comes out at 0.00 μB per atom. The calculation puts the energy above the most stable polymorph in this dataset at 0.0 meV/atom.

a b c (Å): 10.371 10.371 10.371
angles (deg): 90.00 90.00 90.00
Sites, in units of the cell vectors:
Hg 0.500 0.500 0.500
Hg 0.153 0.153 0.153
Hg 0.847 0.847 0.153
Hg 0.847 0.153 0.847
Hg 0.153 0.847 0.847
Hg 0.153 0.153 0.847
Hg 0.847 0.847 0.847
Hg 0.153 0.847 0.153
Hg 0.847 0.153 0.153
Hg 0.268 0.500 0.268
Hg 0.732 0.500 0.268
Hg 0.732 0.500 0.732
Hg 0.268 0.500 0.732
Hg 0.268 0.268 0.500
Hg 0.268 0.732 0.500
Hg 0.732 0.732 0.500
Hg 0.732 0.268 0.500
Hg 0.500 0.268 0.268
Hg 0.500 0.268 0.732
Hg 0.500 0.732 0.732
Hg 0.500 0.732 0.268
Hg 0.345 0.345 0.000
Hg 0.655 0.655 0.000
Hg 0.655 0.345 0.000
Hg 0.345 0.655 0.000
Hg 0.000 0.345 0.345
Hg 0.000 0.655 0.655
Hg 0.000 0.655 0.345
Hg 0.000 0.345 0.655
Hg 0.345 0.000 0.345
Hg 0.655 0.000 0.655
Hg 0.345 0.000 0.655
Hg 0.655 0.000 0.345
Rb 0.000 0.000 0.500
Rb 0.500 0.000 0.000
Rb 0.000 0.500 0.000


> final energy of number 5 (Rb3Hg)?

-0.90 eV per atom


> What is the final energy in the fifth record?

-0.90 eV per atom


> final energy of number 1 (Rb5Hg4)?

-0.87 eV per atom


> final energy of number 2 (Rb2Hg7)?

-0.67 eV per atom